DFT (PBE-GGA) results for crystalline Ac3RuBr at its relaxed geometry.

Calculated values
- energy relative to the lowest polymorph listed for this composition (eV/atom) = 0.020
- formation energy (no corrections) (meV per atom) = -556

Lattice parameters (Å, degrees): 4.105 10.323 8.766 90.00 90.00 90.00
Element x y z (fractional)
Ac (0.250, 0.077, 0.163)
Ac (0.250, 0.250, 0.750)
Ac (0.250, 0.423, 0.163)
Ac (0.750, 0.577, 0.837)
Ac (0.750, 0.750, 0.250)
Ac (0.750, 0.923, 0.837)
Ru (0.250, 0.750, 0.026)
Ru (0.750, 0.250, 0.974)
Br (0.250, 0.750, 0.565)
Br (0.750, 0.250, 0.435)

=====

DFT (PBE-GGA) results for crystalline Na2Nb2H at its relaxed geometry.

Calculated values
- energy relative to the lowest polymorph listed for this composition (eV/atom) = 0.000

Lattice parameters (Å, degrees): 9.586 9.586 9.586 158.39 158.39 30.75
Element x y z (fractional)
Na (0.083, 0.083, 0.000)
Na (0.917, 0.917, 0.000)
Nb (0.250, 0.750, 0.500)
Nb (0.750, 0.250, 0.500)
H (0.500, 0.500, 0.000)

=====

DFT (PBE-GGA) results for crystalline NaLaTl2Cl6 at its relaxed geometry.

Calculated values
- formation energy (no corrections) (meV per atom) = -1737

Lattice parameters (Å, degrees): 7.479 7.871 13.010 90.00 124.16 90.00
Element x y z (fractional)
Na (0.000, 0.000, 0.000)
Na (0.000, 0.500, 0.500)
La (0.500, 0.000, 0.500)
La (0.500, 0.500, 0.000)
Tl (0.223, 0.069, 0.746)
Tl (0.223, 0.431, 0.246)
Tl (0.777, 0.569, 0.754)
Tl (0.777, 0.931, 0.254)
Cl (0.147, 0.195, 0.450)
Cl (0.147, 0.305, 0.950)
Cl (0.252, 0.705, 0.444)
Cl (0.252, 0.795, 0.944)
Cl (0.359, 0.033, 0.251)
Cl (0.359, 0.467, 0.751)
Cl (0.641, 0.533, 0.249)
Cl (0.641, 0.967, 0.749)
Cl (0.748, 0.205, 0.056)
Cl (0.748, 0.295, 0.556)
Cl (0.853, 0.695, 0.050)
Cl (0.853, 0.805, 0.550)

=====

DFT (PBE-GGA) results for crystalline La2Ga5Pd5 at its relaxed geometry.

Calculated values
- total DFT energy (no corrections) (eV per atom) = -5.024

Lattice parameters (Å, degrees): 4.344 5.446 9.548 90.00 90.00 90.00
Element x y z (fractional)
La (0.000, 0.000, 0.000)
La (0.000, 0.500, 0.500)
Ga (0.500, 0.000, 0.500)
Ga (0.500, 0.245, 0.236)
Ga (0.500, 0.245, 0.764)
Ga (0.500, 0.755, 0.236)
Ga (0.500, 0.755, 0.764)
Pd (0.000, 0.000, 0.337)
Pd (0.000, 0.000, 0.663)
Pd (0.000, 0.500, 0.189)
Pd (0.000, 0.500, 0.811)
Pd (0.500, 0.500, 0.000)

=====

DFT (PBE-GGA) results for crystalline Ac3Ce2ThAs6 at its relaxed geometry.

Calculated values
- total DFT energy (no corrections) (eV per atom) = -6.404

Lattice parameters (Å, degrees): 7.587 7.587 7.630 99.54 99.54 120.01
Element x y z (fractional)
Ac (0.000, 0.000, 0.000)
Ac (0.333, 0.667, 0.000)
Ac (0.667, 0.333, 0.000)
Ce (0.167, 0.833, 0.500)
Ce (0.833, 0.167, 0.500)
Th (0.500, 0.500, 0.500)
As (0.091, 0.423, 0.270)
As (0.244, 0.244, 0.730)
As (0.423, 0.091, 0.270)
As (0.577, 0.909, 0.730)
As (0.756, 0.756, 0.270)
As (0.909, 0.577, 0.730)

=====

DFT (PBE-GGA) results for crystalline LaNp3 at its relaxed geometry.

Calculated values
- total DFT energy (no corrections) (eV per atom) = -10.199

Lattice parameters (Å, degrees): 4.534 4.534 4.534 90.00 90.00 90.00
Element x y z (fractional)
La (0.000, 0.000, 0.000)
Np (0.000, 0.500, 0.500)
Np (0.500, 0.000, 0.500)
Np (0.500, 0.500, 0.000)

=====

DFT (PBE-GGA) results for crystalline NbTcP2Pd at its relaxed geometry.

Calculated values
- total DFT energy (no corrections) (eV per atom) = -6.492

Lattice parameters (Å, degrees): 4.468 4.468 4.961 90.00 90.00 90.00
Element x y z (fractional)
Nb (0.000, 0.000, 0.000)
Tc (0.500, 0.500, 0.500)
P (0.000, 0.500, 0.500)
P (0.500, 0.000, 0.500)
Pd (0.500, 0.500, 0.000)

=====

DFT (PBE-GGA) results for crystalline VSe3S at its relaxed geometry.

Calculated values
- energy relative to the lowest polymorph listed for this composition (eV/atom) = 0.321
- formation energy (no corrections) (meV per atom) = 623

Lattice parameters (Å, degrees): 4.804 4.804 4.804 90.00 90.00 90.00
Element x y z (fractional)
V (0.000, 0.000, 0.000)
Se (0.000, 0.500, 0.500)
Se (0.500, 0.000, 0.500)
Se (0.500, 0.500, 0.000)
S (0.500, 0.500, 0.500)

=====

Which formula does entry 4 have? La2Ga5Pd5